A plane-wave DFT calculation with PBE with a Hubbard U was carried out for FePPdO2 after structural relaxation.

Results
E_tot: -5.337 eV per atom
D(E_F): 3.549 states/eV/f.u.
Space group: No. 123
Spin magnetization: 3.7 μB per formula unit

Lattice parameters (Å, degrees): 3.5861 3.5861 5.7431 90.00 90.00 90.00
Fractional positions:
Fe 0.0000 0.0000 0.0000
P 0.0000 0.0000 0.5000
Pd 0.5000 0.5000 0.5000
O 0.0000 0.5000 0.0000
O 0.5000 0.0000 0.0000